No. 1
# K2Ba3IrO6

K2Ba3IrO6 after structural relaxation (PBE-GGA, the Alexandria database).

Cell and atoms, written as POSCAR:
```
K2Ba3IrO6
1.0
6.699 0.027 0.019
-3.324 5.816 0.019
-1.111 -1.923 5.622
K Ba Ir O
2 3 1 6
Cartesian
0.002 3.895 0.019
3.373 1.948 0.019
-2.240 3.908 2.830
4.504 0.013 2.830
1.132 1.960 2.830
0.000 0.000 0.000
3.105 2.392 4.467
2.472 4.280 1.294
-0.841 1.528 1.192
0.520 3.885 4.467
-0.208 -0.360 4.366
1.744 0.035 1.192
```

Values from the calculation:
**Formation energy (no corrections)**: -1.6361 eV/atom
**Symmetry**: C2/m, No. 12
**Total DFT energy (no corrections)**: -0.4055 Ry per atom


No. 2
# KBa2IrPb

KBa2IrPb after structural relaxation (PBE-GGA, the Alexandria database).

Cell and atoms, written as POSCAR:
```
KBa2IrPb
1.0
-1.518 6.045 -0.404
-3.050 -1.122 -5.333
-4.499 -0.945 2.771
Pb K Ir Ba
1 1 1 2
Cartesian
-2.250 -0.472 1.386
-4.533 1.989 -1.483
0.000 0.000 0.000
-1.525 -0.561 -2.667
-0.759 3.022 -0.202
```

Values from the calculation:
**Symmetry**: P4/mmm, No. 123
**Total DFT energy (no corrections)**: -0.2658 Ry per atom
**Energy of formation from the pure elements**: -0.571 eV/f.u.


No. 3
# KRbBa2Ir

KRbBa2Ir after structural relaxation (PBE-GGA, the Alexandria database).

Cell and atoms, written as POSCAR:
```
KRbBa2Ir
1.0
-1.426 -4.220 -4.232
5.849 -0.095 -1.877
1.382 -5.040 4.560
K Ir Ba Rb
1 1 2 1
Cartesian
0.691 -2.520 2.280
0.000 0.000 0.000
2.925 -0.047 -0.938
-0.713 -2.110 -2.116
2.902 -4.677 -0.774
```

Values from the calculation:
**Symmetry**: P4/mmm, No. 123
**Total DFT energy (no corrections)**: -0.2069 Ry per atom
**Energy of formation from the pure elements**: 0.697 eV/f.u.
**Energy relative to the lowest polymorph listed for this composition**: 0 meV/atom


No. 4
# KRbBa2Ir

KRbBa2Ir after structural relaxation (PBE-GGA, the Alexandria database).

Cell and atoms, written as POSCAR:
```
KRbBa2Ir
1.0
-3.697 -3.118 3.776
4.894 -2.167 3.001
-0.221 5.562 4.377
K Ir Ba Rb
1 1 2 1
Cartesian
0.488 0.138 5.577
0.000 0.000 0.000
2.447 -1.084 1.501
-1.848 -1.559 1.888
-0.110 2.781 2.188
```

Values from the calculation:
**Symmetry**: P4/mmm, No. 123
**Total DFT energy (no corrections)**: -0.2066 Ry per atom
**Energy of formation from the pure elements**: 0.720 eV/f.u.
**Energy relative to the lowest polymorph listed for this composition**: 5 meV/atom


No. 5
# KBa2IrSe

KBa2IrSe after structural relaxation (PBE-GGA, the Alexandria database).

Cell and atoms, written as POSCAR:
```
KBa2IrSe
1.0
-5.230 2.071 -2.683
-1.527 -4.738 -0.680
-2.811 0.108 5.561
K Ir Ba Se
1 1 2 1
Cartesian
-4.784 -1.280 1.099
0.000 0.000 0.000
-1.405 0.054 2.781
-2.615 1.035 -1.342
-0.763 -2.369 -0.340
```

Values from the calculation:
**Formation energy (no corrections)**: -0.2072 eV/atom
**Symmetry**: P4/mmm, No. 123
**Total DFT energy (no corrections)**: -0.2694 Ry per atom


No. 6
# Ba2LaIr

Ba2LaIr after structural relaxation (PBE-GGA, the Alexandria database).

Cell and atoms, written as POSCAR:
```
Ba2LaIr
1.0
0.000 3.963 3.963
3.963 0.000 3.963
3.963 3.963 0.000
Ir Ba La
1 2 1
Cartesian
3.963 3.963 3.963
1.981 1.981 1.981
5.944 5.944 5.944
0.000 0.000 0.000
```

Values from the calculation:
**Symmetry**: Fm-3m, No. 225
**Total DFT energy (no corrections)**: -0.2924 Ry per atom
**Energy of formation from the pure elements**: 1.723 eV/f.u.
**Energy relative to the lowest polymorph listed for this composition**: 712 meV/atom


No. 7
# Ba2LaIr

Ba2LaIr after structural relaxation (PBE-GGA, the Alexandria database).

Cell and atoms, written as POSCAR:
```
Ba2LaIr
1.0
-4.193 10.896 0.903
-6.286 -1.612 -9.747
-7.321 3.717 -2.927
Ir Ba La
2 4 2
Cartesian
0.000 0.000 0.000
-8.377 9.628 -3.223
-5.844 9.116 -1.255
-9.869 10.601 -5.939
-8.510 6.503 -4.100
-9.285 12.290 -1.599
-5.240 4.642 -4.422
-9.423 3.374 -8.548
```

Values from the calculation:
**Symmetry**: I-42d, No. 122
**Total DFT energy (no corrections)**: -0.3277 Ry per atom
**Energy of formation from the pure elements**: -0.202 eV/f.u.
**Energy relative to the lowest polymorph listed for this composition**: 231 meV/atom


No. 8
# BaLa4Ir

BaLa4Ir after structural relaxation (PBE-GGA, the Alexandria database).

Cell and atoms, written as POSCAR:
```
BaLa4Ir
1.0
-2.657 -5.015 -3.084
-4.584 0.999 -4.439
1.286 -0.997 -6.251
Ba La Ir
1 4 1
Cartesian
-4.466 -3.760 -10.330
-4.575 -1.345 -7.401
-3.580 -4.448 -6.701
-1.546 -2.375 -8.335
-2.209 -1.860 -5.110
0.000 0.000 0.000
```

Values from the calculation:
**Symmetry**: F-43m, No. 216
**Total DFT energy (no corrections)**: -0.3318 Ry per atom
**Energy of formation from the pure elements**: 3.407 eV/f.u.


No. 9
# BaLaIr2

BaLaIr2 after structural relaxation (PBE-GGA, the Alexandria database).

Cell and atoms, written as POSCAR:
```
BaLaIr2
1.0
-2.587 5.528 -5.165
2.550 -4.502 -6.096
-2.868 -0.935 -5.753
Ir Ba La
4 2 2
Cartesian
-2.076 2.789 -5.550
0.614 -2.486 -5.773
-2.225 -0.210 -8.395
-2.124 0.092 -14.311
-0.019 0.513 -5.630
-0.168 -2.462 -8.740
0.000 0.000 0.000
-2.737 2.554 -8.274
```

Values from the calculation:
**Symmetry**: I-42d, No. 122
**Total DFT energy (no corrections)**: -0.4453 Ry per atom
**Energy of formation from the pure elements**: 0.339 eV/f.u.
**Energy relative to the lowest polymorph listed for this composition**: 288 meV/atom


No. 10
# BaLaIr2

BaLaIr2 after structural relaxation (PBE-GGA, the Alexandria database).

Cell and atoms, written as POSCAR:
```
BaLaIr2
1.0
3.431 0.000 0.000
0.000 5.094 0.000
0.000 0.000 6.068
Ir Ba La
2 1 1
Cartesian
0.000 0.000 5.577
1.716 2.547 2.159
1.716 2.547 5.172
0.000 0.000 2.262
```

Values from the calculation:
**Symmetry**: Pmm2, No. 25
**Total DFT energy (no corrections)**: -0.4395 Ry per atom
**Energy of formation from the pure elements**: 0.656 eV/f.u.
**Energy relative to the lowest polymorph listed for this composition**: 367 meV/atom


No. 11
# Ba2LaIr

Ba2LaIr after structural relaxation (PBE-GGA, the Alexandria database).

Cell and atoms, written as POSCAR:
```
Ba2LaIr
1.0
8.276 0.176 -1.950
-0.139 4.624 -0.427
-5.592 -2.850 5.739
Ir Ba La
1 2 1
Cartesian
2.656 1.998 -0.471
3.008 1.802 2.931
-0.598 -1.663 3.040
4.232 -0.464 0.465
```

Values from the calculation:
**Symmetry**: Cm, No. 8
**Total DFT energy (no corrections)**: -0.3369 Ry per atom
**Energy of formation from the pure elements**: -0.702 eV/f.u.
**Energy relative to the lowest polymorph listed for this composition**: 106 meV/atom


No. 12
# BaLaIr2

BaLaIr2 after structural relaxation (PBE-GGA, the Alexandria database).

Cell and atoms, written as POSCAR:
```
BaLaIr2
1.0
1.646 -2.737 4.107
0.829 2.382 4.550
-3.205 -0.858 4.007
Ir Ba La
2 1 1
Cartesian
-0.182 -0.303 3.166
-0.547 -0.910 9.498
0.000 0.000 0.000
-0.365 -0.606 6.332
```

Values from the calculation:
**Symmetry**: Fm-3m, No. 225
**Total DFT energy (no corrections)**: -0.4538 Ry per atom
**Energy of formation from the pure elements**: -0.125 eV/f.u.
**Energy relative to the lowest polymorph listed for this composition**: 172 meV/atom